(1)
DFT (SCAN) results for a crystal of BaVS3 relaxed with PBEsol.

Computed properties:
Its symmetry is Cmc2_1. The calculation puts the total energy at -18.780 eV per atom. The calculation puts the uncorrected formation energy at -1.60 eV/atom.

a b c (Å): 6.6216 6.6216 5.5151
angles (deg): 90.00 90.00 119.48
Sites, in units of the cell vectors:
Ba 0.1632 0.8368 0.5000
Ba 0.8368 0.1632 0.0000
V 0.4771 0.5229 0.7563
V 0.5229 0.4771 0.2563
S 0.1725 0.3386 0.4921
S 0.3302 0.6698 0.0133
S 0.3386 0.1725 0.9921
S 0.6614 0.8275 0.4921
S 0.6698 0.3302 0.5133
S 0.8275 0.6614 0.9921

(2)
DFT (SCAN) results for a crystal of LiRe2Mo relaxed with PBEsol.

Computed properties:
Its symmetry is Pmm2. The calculation puts the total energy at -44.579 eV per atom. The distance to the lowest polymorph of the same formula is 0.117 eV/atom.

a b c (Å): 2.6557 4.0895 5.2162
angles (deg): 90.00 90.00 90.00
Sites, in units of the cell vectors:
Li 0.0000 0.0000 0.0000
Re 0.0000 0.0000 0.5083
Re 0.5000 0.5000 0.7447
Mo 0.5000 0.5000 0.2380

(3)
DFT (SCAN) results for a crystal of OsRh2Br relaxed with PBEsol.

Computed properties:
Its symmetry is Cmmm. The calculation puts the total energy at -38.766 eV per atom. The distance to the lowest polymorph of the same formula is 0.480 eV/atom. The calculation puts the uncorrected formation energy at 0.95 eV/atom.

a b c (Å): 4.7400 4.7400 2.7826
angles (deg): 90.00 90.00 110.09
Sites, in units of the cell vectors:
Os 0.0000 0.0000 0.0000
Rh 0.0000 0.5000 0.5000
Rh 0.5000 0.0000 0.5000
Br 0.5000 0.5000 0.0000

(4)
DFT (SCAN) results for a crystal of CaTaSe2 relaxed with PBEsol.

Computed properties:
Its symmetry is Cm. The calculation puts the total energy at -29.962 eV per atom. The distance to the lowest polymorph of the same formula is 0.087 eV/atom. The calculation puts the uncorrected formation energy at -0.86 eV/atom.

a b c (Å): 4.3200 4.3200 6.7072
angles (deg): 103.89 103.89 48.09
Sites, in units of the cell vectors:
Ca 0.0000 0.0000 0.0000
Ta 0.7197 0.7197 0.4330
Se 0.2399 0.2399 0.7266
Se 0.3935 0.3935 0.2963

(5)
DFT (SCAN) results for a crystal of BaZn3Rh relaxed with PBEsol.

Computed properties:
Its symmetry is Imma. The calculation puts the total energy at -23.182 eV per atom. The distance to the lowest polymorph of the same formula is 0.000 eV/atom.

a b c (Å): 6.7372 6.7372 6.7372
angles (deg): 122.42 90.70 116.85
Sites, in units of the cell vectors:
Ba 0.3375 0.0875 0.2500
Ba 0.6625 0.9125 0.7500
Zn 0.1706 0.4206 0.7500
Zn 0.2031 0.0000 0.7031
Zn 0.2031 0.5000 0.2031
Zn 0.7969 0.0000 0.2969
Zn 0.7969 0.5000 0.7969
Zn 0.8294 0.5794 0.2500
Rh 0.0000 0.5000 0.5000
Rh 0.5000 0.5000 0.0000

(6)
DFT (SCAN) results for a crystal of NbS2ClF relaxed with PBEsol.

Computed properties:
Its symmetry is P4/mmm. The calculation puts the total energy at -12.369 eV per atom. The calculation puts the uncorrected formation energy at 0.41 eV/atom.

a b c (Å): 4.1117 4.1117 4.8804
angles (deg): 90.00 90.00 90.00
Sites, in units of the cell vectors:
Nb 0.0000 0.0000 0.0000
S 0.0000 0.5000 0.5000
S 0.5000 0.0000 0.5000
Cl 0.5000 0.5000 0.0000
F 0.5000 0.5000 0.5000

Calculated density for every record listed, in sequence, given in g cm⁻³: 4.5 13.9 13.5 7.0 6.7 4.3.